[1]
VASP calculation (GGA-PBE) on HfZr5Al3 after structural relaxation.

Unit cell a=5.923 b=8.479 c=8.480 alpha=120.00 beta=90.00 gamma=90.00
Atoms (fractional coordinates):
Al: 0.250 0.667 0.667
Al: 0.250 0.333 0.000
Al: 0.750 0.000 0.667
Al: 0.250 0.000 0.333
Al: 0.750 0.333 0.333
Al: 0.750 0.667 0.000
Zr: 0.250 0.000 0.667
Zr: 0.000 0.667 0.333
Zr: 0.500 0.667 0.333
Zr: 0.250 0.333 0.333
Zr: 0.250 0.667 0.000
Zr: 0.750 0.667 0.667
Zr: 0.750 0.000 0.333
Zr: 0.750 0.333 0.000
Zr: 0.000 0.333 0.667
Zr: 0.500 0.333 0.667
Hf: 0.500 0.000 0.000
Hf: 0.000 0.000 0.000

Results
Crystal system: hexagonal
Calculated total energy: -0.27383 hartree per atom
Formation enthalpy at 0 K: -0.3489 eV/atom



[2]
VASP calculation (GGA-PBE) on Hf4Zr2Al after structural relaxation.

Unit cell a=9.033 b=9.033 c=9.033 alpha=61.09 beta=137.88 gamma=137.88
Atoms (fractional coordinates):
Al: 0.000 0.250 0.250
Al: 0.000 0.750 0.750
Zr: 0.500 0.350 0.150
Zr: 0.800 0.150 0.650
Zr: 0.200 0.850 0.350
Zr: 0.500 0.650 0.850
Hf: 0.500 0.679 0.491
Hf: 0.500 0.009 0.821
Hf: 0.188 0.509 0.009
Hf: 0.812 0.821 0.321
Hf: 0.500 0.321 0.509
Hf: 0.812 0.491 0.991
Hf: 0.500 0.991 0.179
Hf: 0.188 0.179 0.679

Results
Crystal system: tetragonal
Calculated total energy: -0.31099 hartree per atom
Formation enthalpy at 0 K: 0.2023 eV/atom



[3]
VASP calculation (GGA-PBE) on Hf2ZrAl2 after structural relaxation.

Unit cell a=7.687 b=7.687 c=3.393 alpha=90.00 beta=90.00 gamma=90.00
Atoms (fractional coordinates):
Al: 0.380 0.880 0.000
Al: 0.880 0.620 0.000
Al: 0.120 0.380 0.000
Al: 0.620 0.120 0.000
Zr: 0.000 0.000 0.000
Zr: 0.500 0.500 0.000
Hf: 0.178 0.678 0.500
Hf: 0.822 0.322 0.500
Hf: 0.678 0.822 0.500
Hf: 0.322 0.178 0.500

Results
Distance to the lowest polymorph of the same formula: 0.0 meV per atom
Crystal system: tetragonal
Calculated total energy: -0.27652 hartree per atom
Formation enthalpy at 0 K: -0.3364 eV/atom



[4]
VASP calculation (GGA-PBE) on Hf2Zr2Al7 after structural relaxation.

Unit cell a=6.880 b=4.644 c=6.880 alpha=77.84 beta=92.08 gamma=102.16
Atoms (fractional coordinates):
Hf: 0.785 0.500 0.785
Hf: 0.215 0.500 0.215
Al: 0.565 0.767 0.435
Al: 0.396 0.190 0.984
Al: 0.435 0.233 0.565
Al: 0.016 0.190 0.604
Al: 0.000 0.000 0.000
Al: 0.984 0.810 0.396
Al: 0.604 0.810 0.016
Zr: 0.752 0.324 0.248
Zr: 0.248 0.676 0.752

Results
Crystal system: monoclinic
Calculated total energy: -0.21791 hartree per atom
Formation enthalpy at 0 K: -0.1840 eV/atom



[5]
VASP calculation (GGA-PBE) on HfZr6Al after structural relaxation.

Unit cell a=7.944 b=7.955 c=5.623 alpha=45.02 beta=44.98 gamma=59.85
Atoms (fractional coordinates):
Zr: 0.001 0.500 0.252
Zr: 0.999 0.500 0.748
Zr: 0.498 0.247 0.255
Zr: 0.502 0.753 0.745
Zr: 0.753 0.995 0.753
Zr: 0.247 0.005 0.247
Hf: 0.500 0.500 0.500
Al: 0.000 0.000 0.000

Results
Distance to the lowest polymorph of the same formula: 49.9 meV per atom
Crystal system: triclinic
Calculated total energy: -0.30077 hartree per atom
Formation enthalpy at 0 K: -0.0613 eV/atom



[6]
VASP calculation (GGA-PBE) on HfZrAl2 after structural relaxation.

Unit cell a=3.031 b=3.031 c=8.291 alpha=90.00 beta=90.00 gamma=90.00
Atoms (fractional coordinates):
Al: 0.000 0.000 0.753
Al: 0.000 0.000 0.247
Zr: 0.500 0.500 0.500
Hf: 0.500 0.500 0.000

Results
Distance to the lowest polymorph of the same formula: 46.9 meV per atom
Crystal system: tetragonal
Calculated total energy: -0.25321 hartree per atom
Formation enthalpy at 0 K: -0.3936 eV/atom



[7]
VASP calculation (GGA-PBE) on Hf4Zr3Al4 after structural relaxation.

Unit cell a=7.022 b=7.022 c=7.022 alpha=109.47 beta=109.47 gamma=109.47
Site moments in Bohr magnetons follow the coordinates.
Atoms (fractional coordinates):
Al: 0.000 0.618 0.000  -0.01
Al: 0.618 0.000 0.000  -0.01
Al: 0.382 0.382 0.382  -0.01
Al: 0.000 0.000 0.618  -0.01
Hf: 0.253 0.000 0.000  0.00
Hf: 0.000 0.000 0.253  0.00
Hf: 0.000 0.253 0.000  0.00
Hf: 0.747 0.747 0.747  0.00
Zr: 0.500 0.000 0.500  0.16
Zr: 0.500 0.500 0.000  0.16
Zr: 0.000 0.500 0.500  0.16

Results
Crystal system: cubic
Calculated total energy: -0.25233 hartree per atom
Formation enthalpy at 0 K: 0.4453 eV/atom



[8]
VASP calculation (GGA-PBE) on Hf5Zr3Al12 after structural relaxation.

Unit cell a=13.888 b=13.888 c=13.888 alpha=109.47 beta=109.47 gamma=109.47
Atoms (fractional coordinates):
Hf: 0.750 0.125 0.875
Hf: 0.500 0.000 0.500
Hf: 0.500 0.500 0.500
Hf: 0.500 0.500 0.000
Hf: 0.875 0.625 0.750
Hf: 0.250 0.375 0.625
Hf: 0.000 0.500 0.500
Hf: 0.125 0.750 0.375
Hf: 0.000 0.500 0.000
Hf: 0.750 0.625 0.375
Hf: 0.625 0.875 0.250
Hf: 0.375 0.250 0.125
Hf: 0.125 0.375 0.250
Hf: 0.250 0.875 0.125
Hf: 0.625 0.750 0.875
Hf: 0.375 0.125 0.750
Hf: 0.500 0.000 0.000
Hf: 0.000 0.000 0.000
Hf: 0.875 0.250 0.625
Hf: 0.000 0.000 0.500
Al: 0.077 0.150 0.421
Al: 0.344 0.921 0.771
Al: 0.656 0.577 0.927
Al: 0.844 0.271 0.421
Al: 0.271 0.844 0.921
Al: 0.150 0.077 0.921
Al: 0.573 0.729 0.650
Al: 0.427 0.271 0.350
Al: 0.923 0.073 0.844
Al: 0.229 0.650 0.073
Al: 0.271 0.427 0.850
Al: 0.073 0.923 0.344
Al: 0.579 0.229 0.156
Al: 0.573 0.844 0.423
Al: 0.350 0.771 0.427
Al: 0.650 0.229 0.573
Al: 0.923 0.850 0.579
Al: 0.344 0.423 0.073
Al: 0.229 0.579 0.656
Al: 0.073 0.150 0.229
Al: 0.650 0.421 0.577
Al: 0.156 0.729 0.579
Al: 0.921 0.344 0.271
Al: 0.656 0.079 0.229
Al: 0.421 0.771 0.844
Al: 0.156 0.427 0.077
Al: 0.577 0.656 0.427
Al: 0.850 0.923 0.079
Al: 0.421 0.650 0.077
Al: 0.921 0.577 0.150
Al: 0.579 0.350 0.923
Al: 0.729 0.156 0.079
Al: 0.771 0.350 0.927
Al: 0.729 0.573 0.150
Al: 0.927 0.077 0.656
Al: 0.771 0.421 0.344
Al: 0.423 0.344 0.573
Al: 0.079 0.423 0.850
Al: 0.850 0.927 0.271
Al: 0.077 0.927 0.156
Al: 0.423 0.079 0.350
Al: 0.350 0.579 0.423
Al: 0.150 0.073 0.729
Al: 0.577 0.921 0.650
Al: 0.927 0.850 0.771
Al: 0.844 0.573 0.923
Al: 0.427 0.156 0.577
Al: 0.079 0.656 0.729
Zr: 0.875 0.750 0.125
Zr: 0.875 0.125 0.250
Zr: 0.125 0.250 0.875
Zr: 0.625 0.250 0.375
Zr: 0.375 0.625 0.250
Zr: 0.125 0.875 0.750
Zr: 0.625 0.375 0.750
Zr: 0.250 0.125 0.375
Zr: 0.375 0.750 0.625
Zr: 0.750 0.375 0.125
Zr: 0.750 0.875 0.625
Zr: 0.250 0.625 0.875

Results
Crystal system: cubic
Calculated total energy: -0.19535 hartree per atom
Formation enthalpy at 0 K: 0.7004 eV/atom



[9]
VASP calculation (GGA-PBE) on Hf2ZrAl2 after structural relaxation.

Unit cell a=5.856 b=5.856 c=10.359 alpha=98.11 beta=98.11 gamma=138.76
Atoms (fractional coordinates):
Al: 0.421 0.079 0.250
Al: 0.766 0.734 0.250
Al: 0.579 0.921 0.750
Al: 0.234 0.266 0.750
Zr: 0.102 0.398 0.250
Zr: 0.898 0.602 0.750
Hf: 0.652 0.355 0.003
Hf: 0.145 0.848 0.497
Hf: 0.348 0.645 0.997
Hf: 0.855 0.152 0.503

Results
Distance to the lowest polymorph of the same formula: 319.6 meV per atom
Crystal system: monoclinic
Calculated total energy: -0.26477 hartree per atom
Formation enthalpy at 0 K: -0.0168 eV/atom



[10]
VASP calculation (GGA-PBE) on HfZrAl2 after structural relaxation.

Unit cell a=3.307 b=4.291 c=5.702 alpha=90.00 beta=106.88 gamma=90.00
Atoms (fractional coordinates):
Hf: 0.745 0.000 0.028
Zr: 0.420 0.500 0.380
Al: 0.012 0.000 0.563
Al: 0.154 0.500 0.847

Results
Distance to the lowest polymorph of the same formula: 0.0 meV per atom
Crystal system: orthorhombic
Calculated total energy: -0.25493 hartree per atom
Formation enthalpy at 0 K: -0.4404 eV/atom



[11]
VASP calculation (GGA-PBE) on Hf5ZrAl2 after structural relaxation.

Unit cell a=4.339 b=6.141 c=12.281 alpha=90.00 beta=90.00 gamma=90.00
Atoms (fractional coordinates):
Hf: 0.500 0.252 0.374
Hf: 0.000 0.001 0.249
Hf: 0.000 0.501 0.251
Hf: 0.000 0.500 0.500
Hf: 0.000 0.999 0.751
Hf: 0.500 0.752 0.126
Hf: 0.500 0.248 0.874
Hf: 0.000 0.000 0.000
Hf: 0.000 0.499 0.749
Hf: 0.500 0.748 0.626
Zr: 0.000 0.000 0.500
Zr: 0.000 0.500 0.000
Al: 0.500 0.249 0.126
Al: 0.500 0.251 0.626
Al: 0.500 0.749 0.374
Al: 0.500 0.751 0.874

Results
Distance to the lowest polymorph of the same formula: 0.0 meV per atom
Crystal system: orthorhombic
Calculated total energy: -0.31140 hartree per atom
Formation enthalpy at 0 K: -0.2486 eV/atom



[12]
VASP calculation (GGA-PBE) on Hf2ZrAl6 after structural relaxation.

Unit cell a=4.129 b=7.682 c=7.682 alpha=49.89 beta=74.41 gamma=74.41
Atoms (fractional coordinates):
Zr: 0.000 0.000 0.000
Al: 0.500 0.700 0.300
Al: 0.689 0.016 0.606
Al: 0.500 0.300 0.700
Al: 0.311 0.984 0.394
Al: 0.311 0.394 0.984
Al: 0.689 0.606 0.016
Hf: 0.884 0.616 0.616
Hf: 0.116 0.384 0.384

Results
Crystal system: orthorhombic
Calculated total energy: -0.21435 hartree per atom
Formation enthalpy at 0 K: -0.1761 eV/atom



Question: Among the records above, which one has the lowest formation enthalpy at 0 K?
Answer: number 10



Question: Number 9 is which compound?
Answer: Hf2ZrAl2